! TlCuSi, optimized geometry, DFT PBE-GGA; values from VASP
! - calculated volume (Å³ per cell) = 130
! - M_tot (μB per formula unit) = 0.00
! - mass density (Mg/m³) = 7.6
! - symmetry = P2_1 (4)
! - N(E_F) (states/eV/atom) = 0.332
! - formation energy without anion corrections (meV per atom) = 149
&SYSTEM
  ibrav = 0, nat = 6, ntyp = 3
/
ATOMIC_SPECIES
Cu 63.55 Cu.upf
Tl 204.38 Tl.upf
Si 28.09 Si.upf
CELL_PARAMETERS angstrom
-0.841 4.413 -0.957
0.302 -0.757 -3.754
-7.731 1.289 -0.882
ATOMIC_POSITIONS angstrom
Cu -0.342 -0.218 -3.323
Tl -4.745 4.351 -4.593
Cu -1.972 1.046 -1.744
Si -2.290 3.272 -2.215
Tl -6.145 2.189 -2.304
Si -0.868 1.970 -3.804